A.
A plane-wave DFT calculation with GGA-PBE was carried out for Tb5Dy3Tm4 after structural relaxation.

Cell: 5.812 8.502 9.522 Å, 106.05 72.23 70.01°
Fractional coordinates of all 12 atoms:
Tb  0.625  0.951  0.800
Tb  0.500  0.500  0.500
Tb  0.213  0.461  0.114
Tb  0.787  0.539  0.886
Tb  0.375  0.049  0.200
Dy  0.521  0.687  0.271
Dy  0.000  0.500  0.500
Dy  0.479  0.313  0.729
Tm  0.859  0.221  0.061
Tm  0.164  0.050  0.623
Tm  0.836  0.950  0.377
Tm  0.141  0.779  0.939

Values from the calculation:
The calculation puts the magnetization at 0.4 μB/cell. For the density, the calculation gives 8.53 g/cm³. The calculation puts the calculated volume at 381.07 Å³/cell.

---

B.
A plane-wave DFT calculation with GGA-PBE was carried out for Tb5Dy3Tm4 after structural relaxation.

Cell: 7.054 11.142 12.702 Å, 151.28 56.30 129.30°
Fractional coordinates of all 12 atoms:
Tb  0.334  0.667  0.833
Tb  0.500  0.000  0.500
Tb  0.749  0.501  0.001
Tb  0.251  0.499  0.999
Tb  0.666  0.333  0.167
Dy  0.585  0.168  0.334
Dy  0.000  0.000  0.500
Dy  0.415  0.832  0.666
Tm  0.916  0.832  0.667
Tm  0.834  0.668  0.834
Tm  0.166  0.332  0.166
Tm  0.084  0.168  0.333

Values from the calculation:
The calculation puts the magnetization at 0.0 μB/cell. For the density, the calculation gives 8.76 g/cm³. The calculation puts the calculated volume at 371.18 Å³/cell.

---

Energies relative to the most stable structure, in eV/atom: A 0.228; B 0.000.